PBEsol BeAlP, relaxed; E above lowest polymorph = 0.00 eV/f.u.; space-group type = Fmm2, No. 42; V = 13.16 Å³/atom; crystal system = orthorhombic; formation energy = 0.25 eV/atom
1.0
3.536 0.000 0.000
0.000 4.373 0.000
0.000 0.000 10.214
Be Al P
4 4 4
Direct
0.000 0.000 0.000
0.000 0.500 0.500
0.500 0.000 0.500
0.500 0.500 0.000
0.000 0.000 0.672
0.000 0.500 0.172
0.500 0.000 0.172
0.500 0.500 0.672
0.000 0.000 0.371
0.000 0.500 0.871
0.500 0.000 0.871
0.500 0.500 0.371

---

PBEsol BeAlP2, relaxed; E above lowest polymorph = 0.00 eV/f.u.; space-group type = I-42d, No. 122; V = 17.36 Å³/atom; crystal system = tetragonal; formation energy = -0.20 eV/atom
1.0
4.957 0.000 0.000
0.000 4.957 0.000
0.000 0.000 11.304
Be Al P
4 4 8
Direct
0.000 0.000 0.000
0.000 0.500 0.250
0.500 0.000 0.750
0.500 0.500 0.500
0.000 0.000 0.500
0.000 0.500 0.750
0.500 0.000 0.250
0.500 0.500 0.000
0.211 0.250 0.125
0.250 0.711 0.375
0.250 0.789 0.875
0.289 0.250 0.625
0.711 0.750 0.625
0.750 0.211 0.875
0.750 0.289 0.375
0.789 0.750 0.125

---

PBEsol BeAl2P, relaxed; E above lowest polymorph = 0.29 eV/f.u.; space-group type = P4/mmm, No. 123; V = 13.69 Å³/atom; crystal system = tetragonal; formation energy = 0.21 eV/atom
1.0
4.074 0.000 0.000
0.000 4.074 0.000
0.000 0.000 3.300
Be Al P
1 2 1
Direct
0.000 0.000 0.000
0.000 0.500 0.500
0.500 0.000 0.500
0.500 0.500 0.000

---

PBEsol BeAlP2, relaxed; E above lowest polymorph = 2.08 eV/f.u.; space-group type = Fm-3m, No. 225; V = 13.28 Å³/atom; crystal system = cubic; formation energy = 0.32 eV/atom
1.0
5.967 0.000 0.000
0.000 5.967 0.000
0.000 0.000 5.967
Be Al P
4 4 8
Direct
0.000 0.000 0.000
0.000 0.500 0.500
0.500 0.000 0.500
0.500 0.500 0.000
0.000 0.000 0.500
0.000 0.500 0.000
0.500 0.000 0.000
0.500 0.500 0.500
0.250 0.250 0.250
0.250 0.250 0.750
0.250 0.750 0.250
0.250 0.750 0.750
0.750 0.250 0.250
0.750 0.250 0.750
0.750 0.750 0.250
0.750 0.750 0.750

---

PBEsol BeAl2P, relaxed; E above lowest polymorph = 0.35 eV/f.u.; space-group type = I4/mmm, No. 139; V = 13.58 Å³/atom; crystal system = tetragonal; formation energy = 0.23 eV/atom
1.0
3.821 0.000 0.000
0.000 3.821 0.000
0.000 0.000 7.443
Be Al P
2 4 2
Direct
0.000 0.000 0.000
0.500 0.500 0.500
0.000 0.500 0.250
0.000 0.500 0.750
0.500 0.000 0.250
0.500 0.000 0.750
0.000 0.000 0.500
0.500 0.500 0.000

---

PBEsol BeAlP2, relaxed; E above lowest polymorph = 1.15 eV/f.u.; space-group type = P2/m, No. 10; V = 14.12 Å³/atom; crystal system = monoclinic; formation energy = 0.09 eV/atom
1.0
3.641 0.000 0.000
0.000 3.322 0.000
-1.474 0.000 4.669
Be Al P
1 1 2
Direct
0.000 0.000 0.000
0.500 0.000 0.500
0.255 0.500 0.796
0.745 0.500 0.204

---

The highest formation energy belongs to which entry?
number 4

---

Which of these has the lowest V?
BeAlP